LaReRu2: optimized geometry, GGA-PBE.

The energy of formation from the pure elements is 0.354 eV/atom. Its volume is 74.3 Å³/cell.

It has space group Pmm2 (No. 25), with a = 2.840 Å, b = 3.779 Å, c = 6.922 Å, α = 90.00°, β = 90.00° and γ = 90.00°. Symmetry generates all atoms from La at (0.000, 0.000, 0.000), Re at (0.500, 0.500, 0.335), Ru at (0.000, 0.000, 0.503) and Ru at (0.500, 0.500, 0.702).

---

BaVH: optimized geometry, GGA-PBE.

Its volume is 315.1 Å³/cell.

It has space group Cm (No. 8), with a = 6.880 Å, b = 4.824 Å, c = 10.067 Å, α = 90.00°, β = 109.44° and γ = 90.00°. Symmetry generates all atoms from Ba at (0.000, 0.000, 0.000), Ba at (0.235, 0.500, 0.456), V at (0.009, 0.500, 0.723), V at (0.222, 0.000, 0.723) and H at (0.177, 0.250, 0.851).

---

| no. | D(E_F) (states/eV/f.u.) | energy above the most stable polymorph in this dataset (eV/atom) |
| --- | --- | --- |
| 1 | 5.27 | 0.2182 |
| 2 | 2.94 | 0.0393 |